Entry 1:
! Pu2HPb, optimized geometry, DFT PBE-GGA; values from VASP
! distance to the lowest polymorph of the same formula = 357 meV per atom
! space-group type = Cmcm
&SYSTEM
  ibrav = 0, nat = 8, ntyp = 3
/
ATOMIC_SPECIES
Pu 244.00 Pu.upf
H 1.01 H.upf
Pb 207.20 Pb.upf
CELL_PARAMETERS angstrom
-2.156 1.274 -2.475
-3.153 -2.221 4.108
-0.106 6.712 3.549
ATOMIC_POSITIONS angstrom
Pu -2.707 2.658 3.728
Pu -2.708 3.107 1.455
Pu -2.664 0.339 -0.009
Pu -2.751 5.426 5.191
H -2.030 0.928 2.247
H -3.384 4.837 2.935
Pb -5.072 0.830 2.341
Pb -0.343 4.935 2.841

---

Entry 2:
! BeAl2Ir, optimized geometry, DFT PBE-GGA; values from VASP
! ΔH_f (0 K) = -0.43 eV/atom
! space-group type = P4/mmm
&SYSTEM
  ibrav = 0, nat = 4, ntyp = 3
/
ATOMIC_SPECIES
Be 9.01 Be.upf
Ir 192.22 Ir.upf
Al 26.98 Al.upf
CELL_PARAMETERS angstrom
-2.590 1.473 -2.384
1.629 -1.850 -2.912
-2.152 -2.827 0.592
ATOMIC_POSITIONS angstrom
Be -2.371 -0.677 -0.896
Ir -0.262 -2.338 -1.160
Al 0.000 0.000 0.000
Al -0.481 -0.189 -2.648

---

Entry 3:
! KZrMo2, optimized geometry, DFT PBE-GGA; values from VASP
! ΔH_f (0 K) = 0.61 eV/atom
! distance to the lowest polymorph of the same formula = 55 meV per atom
! space-group type = Cmm2
&SYSTEM
  ibrav = 0, nat = 4, ntyp = 3
/
ATOMIC_SPECIES
K 39.10 K.upf
Mo 95.94 Mo.upf
Zr 91.22 Zr.upf
CELL_PARAMETERS angstrom
-2.058 1.114 1.849
-1.045 -2.138 -1.798
2.606 -7.529 7.434
ATOMIC_POSITIONS angstrom
K 0.450 -6.295 5.735
Mo 0.143 -0.413 0.408
Mo -0.946 -2.261 1.753
Zr 1.159 -3.348 3.305

---

Entry 4:
! TbNd5Tl4, optimized geometry, DFT PBE-GGA; values from VASP
! ΔH_f (0 K) = -0.29 eV/atom
! distance to the lowest polymorph of the same formula = 0 meV per atom
! space-group type = P4/mmm
&SYSTEM
  ibrav = 0, nat = 10, ntyp = 3
/
ATOMIC_SPECIES
Tb 158.93 Tb.upf
Nd 144.24 Nd.upf
Tl 204.38 Tl.upf
CELL_PARAMETERS angstrom
3.690 0.000 0.000
0.000 3.690 0.000
0.000 0.000 22.541
ATOMIC_POSITIONS angstrom
Tb 0.000 0.000 0.000
Nd 1.845 1.845 2.552
Nd 1.845 1.845 6.901
Nd 1.845 1.845 11.270
Nd 1.845 1.845 15.640
Nd 1.845 1.845 19.989
Tl 0.000 0.000 4.720
Tl 0.000 0.000 9.085
Tl 0.000 0.000 13.455
Tl 0.000 0.000 17.820

---

Entry 5:
! Cs2TaGe, optimized geometry, DFT PBE-GGA; values from VASP
! ΔH_f (0 K) = 1.69 eV/atom
! space-group type = Fm-3m
&SYSTEM
  ibrav = 0, nat = 4, ntyp = 3
/
ATOMIC_SPECIES
Cs 132.91 Cs.upf
Ge 72.64 Ge.upf
Ta 180.95 Ta.upf
CELL_PARAMETERS angstrom
5.375 -1.325 1.906
0.913 -4.963 2.968
2.986 -4.385 -2.477
ATOMIC_POSITIONS angstrom
Cs 2.319 -2.668 0.599
Cs 6.956 -8.005 1.798
Ge 0.000 0.000 0.000
Ta 4.637 -5.337 1.199

---

Entry 6:
! NpTi2Ga, optimized geometry, DFT PBE-GGA; values from VASP
! ΔH_f (0 K) = 0.05 eV/atom
! distance to the lowest polymorph of the same formula = 110 meV per atom
! space-group type = Fm-3m
&SYSTEM
  ibrav = 0, nat = 4, ntyp = 3
/
ATOMIC_SPECIES
Np 237.00 Np.upf
Ga 69.72 Ga.upf
Ti 47.87 Ti.upf
CELL_PARAMETERS angstrom
4.661 0.000 0.000
2.331 4.037 0.000
2.331 1.346 3.806
ATOMIC_POSITIONS angstrom
Np 0.000 0.000 0.000
Ga 4.661 2.691 1.903
Ti 2.331 1.346 0.952
Ti 6.992 4.037 2.855

---

Entry 7:
! CaEr3Sb2, optimized geometry, DFT PBE-GGA; values from VASP
! total energy = -27.73 eV per formula unit
! space-group type = C2/m
&SYSTEM
  ibrav = 0, nat = 12, ntyp = 3
/
ATOMIC_SPECIES
Ca 40.08 Ca.upf
Er 167.26 Er.upf
Sb 121.76 Sb.upf
CELL_PARAMETERS angstrom
4.418 0.000 0.000
-2.209 10.240 -0.636
0.000 -5.248 8.125
ATOMIC_POSITIONS angstrom
Ca 2.209 3.283 6.793
Ca 0.000 1.709 0.696
Er 0.000 3.676 3.717
Er 2.209 6.098 4.016
Er 2.209 -1.281 6.383
Er 0.000 6.273 1.107
Er 0.000 -1.106 3.473
Er 2.209 1.316 3.772
Sb 0.000 5.778 6.055
Sb 2.209 -0.786 1.434
Sb 2.209 4.044 1.464
Sb 0.000 0.948 6.025

---

Entry 8:
! Y2Cu2W, optimized geometry, DFT PBE-GGA; values from VASP
! ΔH_f (0 K) = 0.29 eV/atom
! space-group type = P4/mbm
&SYSTEM
  ibrav = 0, nat = 10, ntyp = 3
/
ATOMIC_SPECIES
Y 88.91 Y.upf
Cu 63.55 Cu.upf
W 183.84 W.upf
CELL_PARAMETERS angstrom
-4.487 4.699 -4.287
-4.377 -6.088 -2.093
-1.922 0.502 2.561
ATOMIC_POSITIONS angstrom
Y -4.776 -3.048 -0.936
Y -7.601 -1.508 -3.358
Y -6.010 2.161 -2.883
Y -3.184 0.621 -0.461
Cu -5.611 -3.580 -3.510
Cu -6.662 0.428 -5.084
Cu -3.252 2.192 -2.870
Cu -2.201 -1.816 -1.296
W 0.000 0.000 0.000
W -4.432 -0.694 -3.190

---

Entry 9:
! RbAgAsH2, optimized geometry, DFT PBE-GGA; values from VASP
! total energy = -9.80 eV per formula unit
! space-group type = P4/mmm
&SYSTEM
  ibrav = 0, nat = 5, ntyp = 4
/
ATOMIC_SPECIES
H 1.01 H.upf
As 74.92 As.upf
Rb 85.47 Rb.upf
Ag 107.87 Ag.upf
CELL_PARAMETERS angstrom
-2.131 3.207 1.359
-5.397 -4.253 1.576
1.537 -0.564 3.741
ATOMIC_POSITIONS angstrom
H 0.768 -0.282 1.870
H -1.065 1.604 0.679
As -2.995 -0.805 3.338
Rb 0.000 0.000 0.000
Ag -2.698 -2.127 0.788

---

Entry 10:
! CeErZr2As4, optimized geometry, DFT PBE-GGA; values from VASP
! ΔH_f (0 K) = -1.31 eV/atom
! space-group type = P2/m
&SYSTEM
  ibrav = 0, nat = 8, ntyp = 4
/
ATOMIC_SPECIES
Ce 140.12 Ce.upf
Er 167.26 Er.upf
Zr 91.22 Zr.upf
As 74.92 As.upf
CELL_PARAMETERS angstrom
-2.775 -2.083 -1.965
4.916 -2.870 -3.900
-1.049 -3.928 5.645
ATOMIC_POSITIONS angstrom
Ce 1.070 -2.477 -2.933
Er 0.000 0.000 0.000
Zr -1.912 -3.005 1.840
Zr 1.933 -3.399 0.873
As -0.427 -2.796 -0.480
As 1.518 -6.086 0.260
As 0.417 -3.578 3.204
As 3.450 -3.220 -1.459

---

Entry 11:
! NaCaLa2N, optimized geometry, DFT PBE-GGA; values from VASP
! distance to the lowest polymorph of the same formula = 0 meV per atom
! space-group type = P4/mmm
&SYSTEM
  ibrav = 0, nat = 5, ntyp = 4
/
ATOMIC_SPECIES
Na 22.99 Na.upf
Ca 40.08 Ca.upf
N 14.01 N.upf
La 138.91 La.upf
CELL_PARAMETERS angstrom
-5.147 0.072 -0.348
-0.013 -5.089 -0.848
-0.368 -0.875 5.260
ATOMIC_POSITIONS angstrom
Na -2.764 -2.947 2.032
Ca -0.184 -0.438 2.630
N 0.000 0.000 0.000
La -0.007 -2.545 -0.424
La -2.574 0.036 -0.174

---

Entry 12:
! HfTl3N, optimized geometry, DFT PBE-GGA; values from VASP
! distance to the lowest polymorph of the same formula = 0 meV per atom
! space-group type = Pm-3m
&SYSTEM
  ibrav = 0, nat = 5, ntyp = 3
/
ATOMIC_SPECIES
Tl 204.38 Tl.upf
Hf 178.49 Hf.upf
N 14.01 N.upf
CELL_PARAMETERS angstrom
4.861 0.000 0.000
0.000 4.861 0.000
0.000 0.000 4.861
ATOMIC_POSITIONS angstrom
Tl 0.000 2.430 0.000
Tl 0.000 0.000 2.430
Tl 2.430 0.000 0.000
Hf 2.430 2.430 2.430
N 0.000 0.000 0.000